(1)
Entry from Alexandria via LeMat-Bulk: a PBEsol-optimized structure of LaBe2Re (meta-GGA SCAN).

Unit cell a=3.0316 b=4.9192 c=5.1562 alpha=118.49 beta=107.10 gamma=90.00
With the nearest neighbours (Å) after each atom.
Atoms (fractional coordinates):
Re1 0.7078 0.2078 0.4157  2 Be 2.33
Be1 0.0009 0.0009 0.0018  2 Be 2.32, 2 Re 2.33
Be2 0.2952 0.7952 0.5903  2 Be 2.32
La1 0.4961 0.4961 0.9922  8 Be 2.89-3.00, 4 Re 2.89-3.05, 2 La 3.03

Summary:
Energy above the most stable polymorph in this dataset = 458 meV per atom
DFT formation energy = 0.64 eV per atom



(2)
Entry from Alexandria via LeMat-Bulk: a PBEsol-optimized structure of LaZrBeRe2 (meta-GGA SCAN).

Unit cell a=4.7559 b=4.7559 c=4.9468 alpha=90.00 beta=90.00 gamma=90.00
With the nearest neighbours (Å) after each atom.
Atoms (fractional coordinates):
Re1 0.0000 0.5000 0.0000  2 La 2.38
Re2 0.5000 0.0000 0.0000  2 La 2.38
Be1 0.5000 0.5000 0.5000  4 Zr 3.36, 8 Re 3.43
Zr1 0.0000 0.0000 0.5000  2 La 2.47
La1 0.0000 0.0000 0.0000  4 Re 2.38, 2 Zr 2.47

Summary:
DFT formation energy = 2.64 eV per atom



(3)
Entry from Alexandria via LeMat-Bulk: a PBEsol-optimized structure of La2BeRh (meta-GGA SCAN).

Unit cell a=3.9624 b=3.9678 c=7.8323 alpha=104.62 beta=90.00 gamma=119.96
With the nearest neighbours (Å) after each atom.
Atoms (fractional coordinates):
Be1 0.0000 0.0000 0.5000  6 La 3.08
Rh1 0.5000 0.0000 0.0000  6 La 2.84
La1 0.7585 0.5171 0.7758  3 Rh 2.84, 3 Be 3.08
La2 0.2415 0.4829 0.2242  3 Rh 2.84, 3 Be 3.08

Summary:
DFT formation energy = -0.12 eV per atom



(4)
Entry from Alexandria via LeMat-Bulk: a PBEsol-optimized structure of La2BeRh (meta-GGA SCAN).

Unit cell a=3.6102 b=3.6108 c=6.7413 alpha=90.00 beta=90.99 gamma=90.00
With the nearest neighbours (Å) after each atom.
Atoms (fractional coordinates):
Be1 0.5000 0.5000 0.5000  8 La 3.06-3.07, 2 Rh 3.37
Rh1 0.5000 0.5000 0.0000  8 La 3.02-3.09, 2 Be 3.37
La1 0.0098 0.0000 0.7510  4 Rh 3.02-3.09, 4 Be 3.06-3.07, 1 La 3.36
La2 0.9902 0.0000 0.2490  4 Rh 3.02-3.09, 4 Be 3.06-3.07, 1 La 3.36

Summary:
DFT formation energy = -0.26 eV per atom



(5)
Entry from Alexandria via LeMat-Bulk: a PBEsol-optimized structure of LaBe2Rh (meta-GGA SCAN).

Unit cell a=2.9887 b=2.9887 c=6.7839 alpha=90.00 beta=90.00 gamma=90.00
With the nearest neighbours (Å) after each atom.
Atoms (fractional coordinates):
Be1 0.0000 0.0000 0.9912  4 Rh 2.35, 4 Be 2.41
Be2 0.5000 0.5000 0.1628  1 Rh 2.20, 4 Be 2.41
Rh1 0.5000 0.5000 0.8384  5 Be 2.20-2.35
La1 0.0000 0.0000 0.5077  4 La 2.99, 4 Rh 3.08, 5 Be 3.15-3.28

Summary:
DFT formation energy = -0.15 eV per atom



(6)
Entry from Alexandria via LeMat-Bulk: a PBEsol-optimized structure of La2BeRh (meta-GGA SCAN).

Unit cell a=3.5574 b=4.4660 c=6.0905 alpha=111.51 beta=106.98 gamma=90.00
With the nearest neighbours (Å) after each atom.
Atoms (fractional coordinates):
Be1 0.1854 0.6854 0.3707  2 Rh 2.26
Rh1 0.5554 0.5554 0.1108  2 Be 2.26
La1 0.9820 0.9820 0.9640  4 Rh 2.96, 2 Be 3.13, 2 La 3.14
La2 0.7772 0.2772 0.5544  4 Be 3.02, 2 La 3.14, 2 Rh 3.27

Summary:
DFT formation energy = -0.35 eV per atom



(7)
Entry from Alexandria via LeMat-Bulk: a PBEsol-optimized structure of LaBe3Rh (meta-GGA SCAN).

Unit cell a=4.5845 b=4.5845 c=4.5845 alpha=90.00 beta=90.00 gamma=90.00
With the nearest neighbours (Å) after each atom.
Atoms (fractional coordinates):
Be1 0.0000 0.5000 0.0000  2 La 2.29
Be2 0.0000 0.0000 0.5000  2 La 2.29
Be3 0.5000 0.0000 0.0000  2 La 2.29
Rh1 0.5000 0.5000 0.5000  12 Be 3.24
La1 0.0000 0.0000 0.0000  6 Be 2.29

Summary:
DFT formation energy = 2.34 eV per atom



(8)
Entry from Alexandria via LeMat-Bulk: a PBEsol-optimized structure of LaBe2Ru2 (meta-GGA SCAN).

Unit cell a=4.1909 b=4.1909 c=5.3012 alpha=113.28 beta=113.28 gamma=90.00
With the nearest neighbours (Å) after each atom.
Atoms (fractional coordinates):
Ru1 0.2500 0.7500 0.5000  4 Be 2.26
Ru2 0.7500 0.2500 0.5000  4 Be 2.26
Be1 0.6525 0.6525 0.3051  4 Ru 2.26
Be2 0.3475 0.3475 0.6949  4 Ru 2.26
La1 0.0000 0.0000 0.0000  8 Ru 3.04, 10 Be 3.05-3.25

Summary:
DFT formation energy = -0.24 eV per atom



(9)
Entry from Alexandria via LeMat-Bulk: a PBEsol-optimized structure of LaBe3Ru (meta-GGA SCAN).

Unit cell a=4.3160 b=4.3160 c=4.3160 alpha=90.00 beta=90.00 gamma=90.00
With the nearest neighbours (Å) after each atom.
Atoms (fractional coordinates):
Ru1 0.0000 0.0000 0.0000  6 Be 2.16
Be1 0.0000 0.5000 0.0000  2 Ru 2.16
Be2 0.0000 0.0000 0.5000  2 Ru 2.16
Be3 0.5000 0.0000 0.0000  2 Ru 2.16
La1 0.5000 0.5000 0.5000  12 Be 3.05

Summary:
DFT formation energy = -0.18 eV per atom



(10)
Entry from Alexandria via LeMat-Bulk: a PBEsol-optimized structure of LaBeRu2 (meta-GGA SCAN).

Unit cell a=2.9743 b=4.2842 c=5.2968 alpha=90.00 beta=103.40 gamma=90.00
With the nearest neighbours (Å) after each atom.
Atoms (fractional coordinates):
Ru1 0.0103 0.0000 0.1037  2 Be 2.24-2.26
Ru2 0.5971 0.5000 0.2340  2 Be 2.38, 1 La 2.63, 2 Ru 2.64
Be1 0.6402 0.0000 0.4322  4 Ru 2.24-2.38
La1 0.2524 0.5000 0.7301  2 Ru 2.63-2.89

Summary:
DFT formation energy = 0.05 eV per atom



(11)
Entry from Alexandria via LeMat-Bulk: a PBEsol-optimized structure of La3BeS (meta-GGA SCAN).

Unit cell a=5.3954 b=5.3954 c=5.3954 alpha=90.00 beta=90.00 gamma=90.00
With the nearest neighbours (Å) after each atom.
Atoms (fractional coordinates):
Be1 0.5000 0.5000 0.5000  12 La 3.82
S1 0.0000 0.0000 0.0000  6 La 2.70
La1 0.0000 0.5000 0.0000  2 S 2.70
La2 0.0000 0.0000 0.5000  2 S 2.70
La3 0.5000 0.0000 0.0000  2 S 2.70

Summary:
Formation energy (no corrections) = -0.49 eV/atom



(12)
Entry from Alexandria via LeMat-Bulk: a PBEsol-optimized structure of La3BeSbS7 (meta-GGA SCAN).

Unit cell a=6.2009 b=10.0785 c=10.0785 alpha=120.00 beta=90.00 gamma=90.00
With the nearest neighbours (Å) after each atom.
Atoms (fractional coordinates):
La1 0.7559 0.8558 0.2513  6 S 2.77-3.07
La2 0.7559 0.7487 0.6045  6 S 2.77-3.07
La3 0.7559 0.3955 0.1442  6 S 2.77-3.07
La4 0.2559 0.1442 0.7487  6 S 2.77-3.07
La5 0.2559 0.2513 0.3955  6 S 2.77-3.07
La6 0.2559 0.6045 0.8558  6 S 2.77-3.07
Be1 0.3439 0.6667 0.3333  4 S 2.13-2.15
Be2 0.8439 0.3333 0.6667  4 S 2.13-2.15
Sb1 0.0118 0.0000 0.0000  3 S 2.57
Sb2 0.5118 0.0000 0.0000  3 S 2.57
S1 0.2086 0.9032 0.1592  1 Sb 2.57
S2 0.2086 0.8408 0.7440  1 Sb 2.57
S3 0.2086 0.2560 0.0968  1 Sb 2.57
S4 0.7086 0.0968 0.8408  1 Sb 2.57
S5 0.7086 0.1592 0.2560  1 Sb 2.57
S6 0.7086 0.7440 0.9032  1 Sb 2.57
S7 0.4739 0.5896 0.1111  1 Be 2.13
S8 0.4739 0.8889 0.4785  1 Be 2.13
S9 0.4739 0.5215 0.4104  1 Be 2.13
S10 0.9739 0.4104 0.8889  1 Be 2.13
S11 0.9739 0.1111 0.5215  1 Be 2.13
S12 0.9739 0.4785 0.5896  1 Be 2.13
S13 0.9973 0.6667 0.3333  1 Be 2.15
S14 0.4973 0.3333 0.6667  1 Be 2.15

Summary:
Formation energy (no corrections) = -1.74 eV/atom



(13)
Entry from Alexandria via LeMat-Bulk: a PBEsol-optimized structure of La3TiBeS7 (meta-GGA SCAN).

Unit cell a=5.8181 b=10.3207 c=10.3207 alpha=120.00 beta=90.00 gamma=90.00
With the nearest neighbours (Å) after each atom.
Atoms (fractional coordinates):
La1 0.2509 0.8634 0.2549  6 S 2.78-3.10
La2 0.2509 0.7451 0.6086  6 S 2.78-3.10
La3 0.2509 0.3914 0.1366  6 S 2.78-3.10
La4 0.7509 0.1366 0.7451  6 S 2.78-3.10
La5 0.7509 0.2549 0.3914  6 S 2.78-3.10
La6 0.7509 0.6086 0.8634  6 S 2.78-3.10
Ti1 0.4847 0.0000 0.0000  6 S 2.50
Ti2 0.9847 0.0000 0.0000  6 S 2.50
Be1 0.8413 0.6667 0.3333  4 S 2.08-2.13
Be2 0.3413 0.3333 0.6667  4 S 2.08-2.13
S1 0.7338 0.9235 0.1471  2 Ti 2.50
S2 0.7338 0.8529 0.7764  2 Ti 2.50
S3 0.7338 0.2236 0.0765  2 Ti 2.50
S4 0.2338 0.0765 0.8529  2 Ti 2.50
S5 0.2338 0.1471 0.2236  2 Ti 2.50
S6 0.2338 0.7764 0.9235  2 Ti 2.50
S7 0.9681 0.5971 0.1148  1 Be 2.13
S8 0.9681 0.8852 0.4823  1 Be 2.13
S9 0.9681 0.5177 0.4029  1 Be 2.13
S10 0.4681 0.4029 0.8852  1 Be 2.13
S11 0.4681 0.1148 0.5177  1 Be 2.13
S12 0.4681 0.4823 0.5971  1 Be 2.13
S13 0.4834 0.6667 0.3333  1 Be 2.08
S14 0.9834 0.3333 0.6667  1 Be 2.08

Summary:
Formation energy (no corrections) = -2.08 eV/atom



(14)
Entry from Alexandria via LeMat-Bulk: a PBEsol-optimized structure of LaBeSb2 (meta-GGA SCAN).

Unit cell a=5.1751 b=5.1751 c=5.1751 alpha=60.00 beta=60.00 gamma=60.00
With the nearest neighbours (Å) after each atom.
Atoms (fractional coordinates):
Sb1 0.2500 0.2500 0.2500  4 La 3.17, 4 Be 3.17
Sb2 0.7500 0.7500 0.7500  4 Be 3.17, 4 La 3.17
Be1 0.0000 0.0000 0.0000  8 Sb 3.17
La1 0.5000 0.5000 0.5000  8 Sb 3.17

Summary:
Formation energy (no corrections) = -0.03 eV/atom
Energy above the most stable polymorph in this dataset = 151 meV per atom



Number 1: density of states at the Fermi level 1.701 states/eV/f.u.. Number 2: density of states at the Fermi level 4.352 states/eV/f.u.. Number 3: density of states at the Fermi level 3.343 states/eV/f.u.. Number 4: density of states at the Fermi level 1.831 states/eV/f.u.. Number 5: density of states at the Fermi level 2.837 states/eV/f.u.. Number 6: density of states at the Fermi level 3.409 states/eV/f.u.. Number 7: density of states at the Fermi level 4.853 states/eV/f.u.. Number 8: density of states at the Fermi level 4.705 states/eV/f.u.. Number 9: density of states at the Fermi level 2.860 states/eV/f.u.. Number 10: density of states at the Fermi level 3.427 states/eV/f.u.. Number 11: density of states at the Fermi level 3.903 states/eV/f.u.. Number 12: density of states at the Fermi level 0.000 states/eV/f.u.. Number 13: density of states at the Fermi level 2.545 states/eV/f.u.. Number 14: density of states at the Fermi level 2.166 states/eV/f.u..